Tm3PtRh8: relaxed, PBE-GGA.

Cell lengths 5.252, 5.252, 9.116 Å; angles 73.26, 73.26, 60.00 degrees
Sites, in units of the cell vectors:
Rh (0.311, 0.311, 0.066)
Rh (0.562, 0.061, 0.317)
Rh (0.562, 0.562, 0.815)
Rh (0.061, 0.562, 0.815)
Rh (0.811, 0.811, 0.567)
Tm (0.492, 0.492, 0.523)
Rh (0.061, 0.562, 0.317)
Rh (0.061, 0.061, 0.317)
Pt (0.132, 0.132, 0.603)
Rh (0.562, 0.061, 0.815)
Tm (0.624, 0.624, 0.128)
Tm (0.010, 0.010, 0.969)

Calculated values
SG: R3m (160)



Tm2PtRh: relaxed, PBE-GGA.

Cell lengths 3.406, 3.406, 6.844 Å; angles 90.00, 90.00, 90.00 degrees
Sites, in units of the cell vectors:
Rh (0.500, 0.500, 0.500)
Tm (0.000, 0.000, 0.744)
Pt (0.500, 0.500, 0.000)
Tm (0.000, 0.000, 0.256)

Calculated values
SG: P4/mmm (123)



no.,E_tot (eV per atom)
1,-7.10
2,-6.72